Below is CdCuIr2 at its PBEsol-relaxed geometry, with properties calculated at the meta-GGA SCAN level.

a b c (Å): 2.792 2.792 7.455
angles (deg): 90.00 90.00 90.00
Atoms (fractional coordinates):
Cd 0.000 0.000 0.000
Cu 0.000 0.000 0.500
Ir 0.500 0.500 0.281
Ir 0.500 0.500 0.719

Properties
N(E_F)	5.89	states/eV/f.u.
mass density	16.01	Mg/m³
symmetry	No. 123
formation energy from the elements	7.7	kcal/mol of atoms